Ho6Er2Mg | PBE-GGA | optimized geometry

a = 3.524 Å, b = 3.524 Å, c = 31.946 Å
α = 90.00°, β = 90.00°, γ = 120.00°
Last column: magnetic moment on the atom in μB.
Sites, in units of the cell vectors:
Ho: 0.333 0.667 0.914  0.06
Ho: 0.000 0.000 0.349  0.20
Ho: 0.000 0.000 0.826  0.12
Ho: 0.000 0.000 0.174  0.12
Ho: 0.000 0.000 0.651  0.20
Ho: 0.333 0.667 0.086  0.06
Er: 0.333 0.667 0.263  0.23
Er: 0.333 0.667 0.737  0.23
Mg: 0.000 0.000 0.000  0.00

VASP energy: -0.1495 Ha/atom
ΔH_f (0 K): 0.175 eV per atom
volume: 38.18 Å³ per atom
total moment: 1.685 μB/f.u.